Entry 1:
Crystalline SnIrPd2 at its relaxed geometry. Source: OQMD via LeMat-Bulk, functional PBE-GGA.

Values from the calculation:
The calculation puts the total energy at -6.01 eV per atom. Its space group is No. 216. As for the size of the total moment: 0.00 μB per formula unit.

abc: 4.514 4.514 4.514
angles: 60.00 60.00 60.00
Fractional coordinates of all 4 atoms:
Sn: 0.000 0.000 0.000
Ir: 0.250 0.250 0.250
Pd: 0.500 0.500 0.500
Pd: 0.750 0.750 0.750


Entry 2:
Crystalline LaB4Au at its relaxed geometry. Source: OQMD via LeMat-Bulk, functional PBE-GGA.

Values from the calculation:
The value obtained for the polymorph energy (0 for the lowest one) is 0.0 meV/atom. Its space group is No. 71. As for the size of the total moment: 0.00 μB per formula unit.

abc: 5.409 5.409 5.409
angles: 145.78 120.39 70.56
Fractional coordinates of all 6 atoms:
La: 0.000 0.000 0.000
B: 0.052 0.738 0.314
B: 0.424 0.738 0.686
B: 0.576 0.262 0.314
B: 0.948 0.262 0.686
Au: 0.500 0.500 0.000


Entry 3:
Crystalline KZnNO at its relaxed geometry. Source: OQMD via LeMat-Bulk, functional PBE-GGA.

Values from the calculation:
The value obtained for the polymorph energy (0 for the lowest one) is 222.1 meV/atom. Its space group is No. 26.

abc: 3.201 7.069 5.556
angles: 90.00 90.00 90.00
Fractional coordinates of all 8 atoms:
K: 0.000 0.206 0.000
K: 0.000 0.794 0.500
Zn: 0.500 0.308 0.500
Zn: 0.500 0.692 0.000
N: 0.500 0.498 0.753
N: 0.500 0.502 0.253
O: 0.000 0.159 0.498
O: 0.000 0.841 0.998